1.
A plane-wave DFT calculation with PBE was carried out for a geometry-optimized CrSbTe2I structure.

Output
D(E_F) in states/eV per cell: 7.932
Total moment in μB per cell: 0.0
ΔE to the lowest computed polymorph in meV per atom: 176
Formation energy from raw total energies in eV/atom: 0.50

Structure (CIF):
```
data_CrSbTe2I
_space_group_name_H-M_alt 'P 4/m m m'
_space_group_IT_number 123
_space_group_name_Hall '-P 4 2'
_cell_length_a 5.070
_cell_length_b 5.070
_cell_length_c 5.430
_cell_angle_alpha 90.00
_cell_angle_beta 90.00
_cell_angle_gamma 90.00
loop_
_atom_site_label
_atom_site_type_symbol
_atom_site_fract_x
_atom_site_fract_y
_atom_site_fract_z
Cr1 Cr 0.000 0.000 0.000
Sb1 Sb 0.500 0.500 0.500
Te1 Te 0.000 0.500 0.000
I1 I 0.000 0.000 0.500
```

2.
A plane-wave DFT calculation with PBE was carried out for a geometry-optimized YIn2Mo structure.

Output
D(E_F) in states/eV per cell: 12.206
Formation energy from the elements in meV/atom: 334
Total moment in μB per cell: 2.6
ΔE to the lowest computed polymorph in meV per atom: 329

Structure (CIF):
```
data_YIn2Mo
_space_group_name_H-M_alt 'R 3 m'
_space_group_IT_number 160
_space_group_name_Hall 'R 3 -2"'
_cell_length_a 3.3187
_cell_length_b 3.3187
_cell_length_c 29.9006
_cell_angle_alpha 90.00
_cell_angle_beta 90.00
_cell_angle_gamma 120.00
loop_
_atom_site_label
_atom_site_type_symbol
_atom_site_fract_x
_atom_site_fract_y
_atom_site_fract_z
Y1 Y 0.0000 0.0000 0.0000
In1 In 0.0000 0.0000 0.2379
In2 In 0.0000 0.0000 0.4822
Mo1 Mo 0.0000 0.0000 0.7420
```